{
  "formula": "TbPm3Pb3",
  "functional": "PBE",
  "state": "relaxed",
  "space_group": "R-3",
  "final_energy_ev_per_atom": -4.683,
  "volume_a3_per_atom": 34.3,
  "formation_enthalpy_0k_ev_per_fu": -2.77,
  "crystal_system": "trigonal",
  "cell": [[4.6881, 2.7067, 6.3072], [-4.6881, 2.7067, 6.3072], [0.0000, -5.4134, 6.3072]],
  "species": ["Tb", "Tb", "Pm", "Pm", "Pm", "Pm", "Pm", "Pm", "Pb", "Pb", "Pb", "Pb", "Pb", "Pb"],
  "fractional_positions": [[0.1684, 0.1684, 0.1684], [0.8316, 0.8316, 0.8316], [0.1547, 0.4048, 0.6727], [0.3273, 0.8453, 0.5952], [0.4048, 0.6727, 0.1547], [0.5952, 0.3273, 0.8453], [0.6727, 0.1547, 0.4048], [0.8453, 0.5952, 0.3273], [0.0332, 0.8113, 0.4239], [0.1887, 0.5761, 0.9668], [0.4239, 0.0332, 0.8113], [0.5761, 0.9668, 0.1887], [0.8113, 0.4239, 0.0332], [0.9668, 0.1887, 0.5761]]
}

=====

{
  "formula": "TbPm6Pb10",
  "functional": "PBE",
  "state": "relaxed",
  "space_group": "P-31m",
  "final_energy_ev_per_atom": -4.532,
  "volume_a3_per_atom": 30.5,
  "formation_enthalpy_0k_ev_per_fu": -6.83,
  "crystal_system": "trigonal",
  "cell": [[9.5414, 0.0000, 0.0000], [-4.7707, 8.2631, 0.0000], [0.0000, 0.0000, 6.5790]],
  "species": ["Tb", "Pm", "Pm", "Pm", "Pm", "Pm", "Pm", "Pb", "Pb", "Pb", "Pb", "Pb", "Pb", "Pb", "Pb", "Pb", "Pb"],
  "fractional_positions": [[0.0000, 0.0000, 0.0000], [0.0000, 0.3880, 0.7649], [0.0000, 0.6120, 0.2351], [0.3880, 0.0000, 0.7649], [0.3880, 0.3880, 0.2351], [0.6120, 0.0000, 0.2351], [0.6120, 0.6120, 0.7649], [0.0000, 0.2610, 0.2960], [0.0000, 0.7390, 0.7040], [0.2610, 0.0000, 0.2960], [0.2610, 0.2610, 0.7040], [0.3333, 0.6667, 0.0000], [0.3333, 0.6667, 0.5000], [0.6667, 0.3333, 0.0000], [0.6667, 0.3333, 0.5000], [0.7390, 0.0000, 0.7040], [0.7390, 0.7390, 0.2960]]
}